Computed, not measured: an optimized crystal structure of HgP2Ru at the PBE level of DFT.

Unit cell a=3.1992 b=3.9048 c=6.2921 alpha=72.01 beta=90.00 gamma=90.00
Fractional positions:
Hg 0.5000 0.7584 0.7026
P 0.0000 0.9738 0.2177
P 0.5000 0.3737 0.1466
Ru 0.0000 0.3941 0.4331

Its calculated formation energy is 0.0897 eV per atom. As for the space group: Pm.

Computed, not measured: an optimized crystal structure of RbCd at the PBE level of DFT.

Unit cell a=5.3614 b=5.3614 c=5.3614 alpha=60.00 beta=60.00 gamma=60.00
Fractional positions:
Rb 0.5000 0.5000 0.5000
Cd 0.0000 0.0000 0.0000

Its calculated formation energy is 0.1337 eV per atom. As for the space group: Fm-3m.

Computed, not measured: an optimized crystal structure of Dy3Mg2Ga3 at the PBE level of DFT.

Unit cell a=5.9423 b=8.5934 c=8.5934 alpha=120.00 beta=90.00 gamma=90.00
Fractional positions:
Dy 0.7500 0.2776 0.0000
Dy 0.7500 0.7224 0.7224
Dy 0.7500 0.0000 0.2776
Dy 0.2500 0.7224 0.0000
Dy 0.2500 0.2776 0.2776
Dy 0.2500 0.0000 0.7224
Mg 0.0000 0.3333 0.6667
Mg 0.5000 0.6667 0.3333
Mg 0.0000 0.6667 0.3333
Mg 0.5000 0.3333 0.6667
Ga 0.7500 0.6236 0.0000
Ga 0.7500 0.3764 0.3764
Ga 0.7500 0.0000 0.6236
Ga 0.2500 0.3764 0.0000
Ga 0.2500 0.6236 0.6236
Ga 0.2500 0.0000 0.3764

Its calculated formation energy is -0.4030 eV per atom. As for the space group: P6_3/mcm.

Computed, not measured: an optimized crystal structure of Ni2IrPb2 at the PBE level of DFT.

Unit cell a=6.7548 b=6.7548 c=3.8709 alpha=90.00 beta=90.00 gamma=90.00
Fractional positions:
Pb 0.1790 0.6790 0.5000
Pb 0.6790 0.8210 0.5000
Pb 0.8210 0.3210 0.5000
Pb 0.3210 0.1790 0.5000
Ni 0.3728 0.8728 0.0000
Ni 0.8728 0.6272 0.0000
Ni 0.6272 0.1272 0.0000
Ni 0.1272 0.3728 0.0000
Ir 0.0000 0.0000 0.0000
Ir 0.5000 0.5000 0.0000

Its calculated formation energy is 0.3821 eV per atom. As for the excess energy over the best structure of this formula in the dataset: 0 meV per atom. As for the space group: P4/mbm.

Computed, not measured: an optimized crystal structure of RbH3Rh at the PBE level of DFT.

Unit cell a=4.6124 b=4.6124 c=4.6124 alpha=90.00 beta=90.00 gamma=90.00
Fractional positions:
H 0.0000 0.5000 0.0000
H 0.0000 0.0000 0.5000
H 0.5000 0.0000 0.0000
Rh 0.5000 0.5000 0.5000
Rb 0.0000 0.0000 0.0000

As for the excess energy over the best structure of this formula in the dataset: 1950 meV per atom. As for the space group: Pm-3m.

Computed, not measured: an optimized crystal structure of TaRu2Au at the PBE level of DFT.

Unit cell a=5.3401 b=5.3401 c=5.3401 alpha=146.59 beta=127.92 gamma=63.30
Fractional positions:
Au 0.2500 0.7500 0.5000
Ru 0.9767 0.9767 0.0000
Ru 0.5233 0.5233 0.0000
Ta 0.7500 0.2500 0.5000

Its calculated formation energy is 0.1293 eV per atom. As for the excess energy over the best structure of this formula in the dataset: 287 meV per atom. As for the space group: Immm.

Computed, not measured: an optimized crystal structure of LaTc3 at the PBE level of DFT.

Unit cell a=5.8499 b=5.8499 c=4.2776 alpha=90.00 beta=90.00 gamma=100.51
Fractional positions:
La 0.1163 0.8837 0.7500
La 0.8837 0.1163 0.2500
Tc 0.6040 0.3960 0.7500
Tc 0.1518 0.4285 0.7500
Tc 0.5715 0.8482 0.7500
Tc 0.3960 0.6040 0.2500
Tc 0.8482 0.5715 0.2500
Tc 0.4285 0.1518 0.2500

Its calculated formation energy is 0.3823 eV per atom. As for the space group: Cmcm.

Computed, not measured: an optimized crystal structure of La2Nd4Tm at the PBE level of DFT.

Unit cell a=9.3384 b=6.9545 c=9.3384 alpha=100.63 beta=119.81 gamma=100.63
Fractional positions:
Tm 0.7417 0.5708 0.3290
Tm 0.0790 0.0708 0.9917
Nd 0.7595 0.3075 0.9691
Nd 0.9066 0.5492 0.7633
Nd 0.5899 0.8514 0.6086
Nd 0.0628 0.3335 0.3543
Nd 0.5133 0.0492 0.1566
Nd 0.7191 0.8075 0.0095
Nd 0.3586 0.3514 0.8399
Nd 0.1043 0.8335 0.3128
La 0.2330 0.7914 0.7083
La 0.4583 0.2914 0.4830
La 0.9166 0.0962 0.5574
La 0.3074 0.5962 0.1666

Its calculated formation energy is 0.1062 eV per atom. As for the excess energy over the best structure of this formula in the dataset: 0 meV per atom. As for the space group: Cc.

Computed, not measured: an optimized crystal structure of NaNbS at the PBE level of DFT.

Unit cell a=5.0327 b=3.3151 c=8.2225 alpha=101.63 beta=107.82 gamma=90.00
Fractional positions:
Na 0.6772 0.1772 0.3543
Na 0.3228 0.8228 0.6457
Nb 0.7438 0.5000 0.0000
Nb 0.2562 0.5000 0.0000
S 0.1402 0.6402 0.2805
S 0.8598 0.3598 0.7195

For the formation energy (no corrections), the calculation gives -69 kJ/mol of formula units. As for the space group: Immm.

Computed, not measured: an optimized crystal structure of Tl2Sn2C at the PBE level of DFT.

Unit cell a=6.5649 b=6.5649 c=5.9223 alpha=90.00 beta=90.00 gamma=90.00
Fractional positions:
C 0.0000 0.0000 0.0000
C 0.5000 0.5000 0.0000
Tl 0.3319 0.8319 0.0000
Tl 0.8319 0.6681 0.0000
Tl 0.6681 0.1681 0.0000
Tl 0.1681 0.3319 0.0000
Sn 0.1807 0.6807 0.5000
Sn 0.6807 0.8193 0.5000
Sn 0.8193 0.3193 0.5000
Sn 0.3193 0.1807 0.5000

Its calculated formation energy is 1.0634 eV per atom. As for the excess energy over the best structure of this formula in the dataset: 0 meV per atom. As for the space group: P4/mbm.

Computed, not measured: an optimized crystal structure of Na3ZnO at the PBE level of DFT.

Unit cell a=4.6938 b=4.6938 c=4.6938 alpha=90.00 beta=90.00 gamma=90.00
Fractional positions:
Na 0.0000 0.5000 0.0000
Na 0.0000 0.0000 0.5000
Na 0.5000 0.0000 0.0000
Zn 0.5000 0.5000 0.5000
O 0.0000 0.0000 0.0000

For the formation energy (no corrections), the calculation gives -275 kJ/mol of formula units. As for the excess energy over the best structure of this formula in the dataset: 0 meV per atom. As for the space group: Pm-3m.

Computed, not measured: an optimized crystal structure of TlCrCo2 at the PBE level of DFT.

Unit cell a=3.9297 b=3.9297 c=3.7216 alpha=90.00 beta=90.00 gamma=90.00
Fractional positions:
Co 0.0000 0.0000 0.0000
Co 0.5000 0.5000 0.0000
Cr 0.5000 0.0000 0.5000
Tl 0.0000 0.5000 0.5000

Its calculated formation energy is 0.5293 eV per atom. As for the excess energy over the best structure of this formula in the dataset: 124 meV per atom. As for the space group: P4/mmm.

no.,calculated volume (A^3/atom)
1,18.69
2,54.49
3,23.75
4,17.66
5,19.63
6,16.36
7,17.99
8,34.95
9,21.27
10,25.52
11,20.68
12,14.37